DFT (PBE) results for crystalline BaCrTc2 at its relaxed geometry.

DOS at the Fermi energy: 4.79 states/eV/f.u.
ΔE_f: 5.287 eV per formula unit
energy above the most stable polymorph in this dataset: 766 meV/atom
uncorrected energy: -6.75 eV/atom
space group: No. 47

Unit cell a=3.178 b=5.067 c=4.739 alpha=90.00 beta=90.00 gamma=90.00
Positions (direct):
Ba  0.500  0.000  0.500
Cr  0.000  0.500  0.500
Tc  0.000  0.000  0.000
Tc  0.500  0.500  0.000